1.
Computed, not measured: an optimized crystal structure of NaBi2P2 at the PBEsol level of DFT.

```
NaBi2P2
1.0
5.2857 0.0000 0.0000
0.0000 5.2857 0.0000
-2.6429 -2.6429 5.0646
P Bi Na
2 2 1
Direct
0.2500 0.7500 0.5000
0.7500 0.2500 0.5000
0.3403 0.3403 0.6806
0.6597 0.6597 0.3194
0.0000 0.0000 0.0000
```

2.
Computed, not measured: an optimized crystal structure of NaBi3Pb at the PBEsol level of DFT.

```
NaBi3Pb
1.0
-4.6488 1.2507 3.4278
-3.3330 -3.7149 -3.1649
1.4849 -4.4228 3.6276
Bi Pb Na
3 1 1
Direct
0.0000 0.0000 0.5000
0.0000 0.5000 0.0000
0.5000 0.0000 0.0000
0.0000 0.0000 0.0000
0.5000 0.5000 0.5000
```

no.,energy of formation (kcal/mol of atoms)
1,2.06
2,12.75